# BaLa2PrHg4, relaxed, DFT PBE-GGA
data_BaLa2PrHg4
_chemical_formula_sum 'Ba3 La6 Pr3 Hg12'
_cell_length_a 5.5906
_cell_length_b 5.5906
_cell_length_c 27.6745
_cell_angle_alpha 90.00
_cell_angle_beta 90.00
_cell_angle_gamma 120.00
_symmetry_space_group_name_H-M 'R -3 m'
_symmetry_Int_Tables_number 166
_symmetry_space_group_name_Hall '-R 3 2"'
loop_
_atom_site_label
_atom_site_fract_x
_atom_site_fract_y
_atom_site_fract_z
Ba1 0.0000 0.0000 0.0000
La1 0.0000 0.0000 0.2490
Pr1 0.0000 0.0000 0.5000
Hg1 0.0000 0.0000 0.1291
Hg2 0.0000 0.0000 0.3816
# **Energy of formation from the pure elements**: -3.72 eV/f.u.
# **Calculated volume**: 31.212 A^3/atom